Material: ThSiGe2Rh2
Method: DFT, PBE
State: optimized geometry

Cell: 4.4955 4.4955 5.6636 Å, 90.00 90.00 90.00°
Fractional coordinates of all 6 atoms:
Th1 0.0000 0.0000 0.0000
Si1 0.0000 0.0000 0.5000
Ge1 0.5000 0.5000 0.2296
Ge2 0.5000 0.5000 0.7704
Rh1 0.0000 0.5000 0.5000
Rh2 0.5000 0.0000 0.5000

Calculated values
For the density of states at the Fermi level, the calculation gives 3.46 states/eV/cell. The uncorrected formation energy is -424 meV/atom.


Material: LiZrRe2
Method: DFT, PBE
State: optimized geometry

Cell: 2.7597 2.7597 9.5763 Å, 90.00 90.00 110.88°
Fractional coordinates of all 4 atoms:
Li1 0.0000 0.0000 0.0000
Zr1 0.5000 0.5000 0.2945
Re1 0.0000 0.0000 0.5441
Re2 0.5000 0.5000 0.7643

Calculated values
For the density of states at the Fermi level, the calculation gives 2.30 states/eV/cell. As for the energy relative to the elements: 0.26 eV/atom. The polymorph energy (0 for the lowest one) is 0.181 eV per atom.


Material: Na2PmSbS4
Method: DFT, PBE
State: optimized geometry

Cell: 7.0334 4.0476 7.0928 Å, 90.00 109.18 90.00°
Fractional coordinates of all 8 atoms:
Na1 0.0000 0.0000 0.0000
Na2 0.5000 0.5000 0.0000
Pm1 0.0000 0.5000 0.5000
Sb1 0.5000 0.0000 0.5000
S1 0.2487 0.0000 0.7308
S2 0.2601 0.5000 0.2694
S3 0.7399 0.5000 0.7306
S4 0.7513 0.0000 0.2692

Calculated values
For the density of states at the Fermi level, the calculation gives 0.00 states/eV/cell. The uncorrected formation energy is -1229 meV/atom.


Material: CdRh5
Method: DFT, PBE
State: optimized geometry

Cell: 4.8175 4.8175 4.5149 Å, 90.00 90.00 120.00°
Fractional coordinates of all 6 atoms:
Cd1 0.0000 0.0000 0.0000
Rh1 0.0000 0.6429 0.5000
Rh2 0.3333 0.6667 0.0000
Rh3 0.3571 0.3571 0.5000
Rh4 0.6429 0.0000 0.5000
Rh5 0.6667 0.3333 0.0000

Calculated values
For the density of states at the Fermi level, the calculation gives 9.13 states/eV/cell. As for the energy relative to the elements: 0.09 eV/atom.


Material: LiCa2SbAu6
Method: DFT, PBE
State: optimized geometry

Cell: 6.5368 6.5368 8.3191 Å, 122.09 122.09 49.79°
Fractional coordinates of all 10 atoms:
Li1 0.0000 0.0000 0.0000
Ca1 0.4912 0.4912 0.7447
Ca2 0.5088 0.5088 0.2553
Sb1 0.0000 0.0000 0.5000
Au1 0.0210 0.5146 0.8453
Au2 0.1813 0.1813 0.3994
Au3 0.4854 0.9790 0.1547
Au4 0.5146 0.0210 0.8453
Au5 0.8187 0.8187 0.6006
Au6 0.9790 0.4854 0.1547

Calculated values
For the density of states at the Fermi level, the calculation gives 2.90 states/eV/cell. The uncorrected formation energy is -488 meV/atom.


Material: TiP2PbN
Method: DFT, PBE
State: optimized geometry

Cell: 4.6015 4.6015 5.6525 Å, 90.00 90.00 90.00°
Fractional coordinates of all 5 atoms:
Ti1 0.0000 0.0000 0.0000
P1 0.0000 0.5000 0.0000
P2 0.5000 0.0000 0.0000
Pb1 0.0000 0.0000 0.5000
N1 0.5000 0.5000 0.5000

Calculated values
For the density of states at the Fermi level, the calculation gives 3.07 states/eV/cell. The uncorrected formation energy is 1073 meV/atom.


| no. | VASP energy (eV per atom) | mass density (g cm⁻³) |
| --- | --- | --- |
| 1 | -6.554 | 8.87 |
| 2 | -8.579 | 11.47 |
| 3 | -4.732 | 3.84 |
| 4 | -6.192 | 11.47 |
| 5 | -3.458 | 10.49 |
| 6 | -5.076 | 4.59 |